Here is crystalline SnH10Br4O5 at its relaxed geometry from Alexandria via LeMat-Bulk. Energies are from GGA-PBEsol.

Cell lengths 8.1035, 8.1035, 8.6429 Å; angles 78.09, 78.09, 74.71 degrees
Atoms (fractional coordinates):
Sn: 0.2573 0.7427 0.2500
Sn: 0.7427 0.2573 0.7500
H: 0.5255 0.6864 0.9879
H: 0.3136 0.4745 0.5121
H: 0.4745 0.3136 0.0121
H: 0.6864 0.5255 0.4879
H: 0.6048 0.6131 0.1679
H: 0.3869 0.3952 0.3321
H: 0.3952 0.3869 0.8321
H: 0.6131 0.6048 0.6679
H: 0.3991 0.7765 0.7816
H: 0.2235 0.6009 0.7184
H: 0.6009 0.2235 0.2184
H: 0.7765 0.3991 0.2816
H: 0.5668 0.8517 0.7572
H: 0.1483 0.4332 0.7428
H: 0.4332 0.1483 0.2428
H: 0.8517 0.5668 0.2572
H: 0.1066 0.8296 0.8412
H: 0.1704 0.8934 0.6588
H: 0.8934 0.1704 0.1588
H: 0.8296 0.1066 0.3412
Br: 0.4222 0.8769 0.4000
Br: 0.1231 0.5778 0.1000
Br: 0.5778 0.1231 0.6000
Br: 0.8769 0.4222 0.9000
Br: 0.2025 0.0287 0.0527
Br: 0.9713 0.7975 0.4473
Br: 0.7975 0.9713 0.9473
Br: 0.0287 0.2025 0.5527
O: 0.5008 0.6487 0.1091
O: 0.3513 0.4992 0.3909
O: 0.4992 0.3513 0.8909
O: 0.6487 0.5008 0.6091
O: 0.5257 0.7430 0.7952
O: 0.2570 0.4743 0.7048
O: 0.4743 0.2570 0.2048
O: 0.7430 0.5257 0.2952
O: 0.1994 0.8006 0.7500
O: 0.8006 0.1994 0.2500

Computed properties:
uncorrected energy	-4.51	eV/atom
V	13.2	A^3/atom
calculated density	3.3	Mg/m³
symmetry	C2/c, No. 15